{"formula": "Ba12Hg3Se5", "functional": "PBE", "state": "relaxed", "lattice_angstrom": [[-9.973, 9.973, 9.973], [9.973, -9.973, 9.973], [9.973, 9.973, -9.973]], "species": ["Ba", "Ba", "Ba", "Ba", "Ba", "Ba", "Ba", "Ba", "Ba", "Ba", "Ba", "Ba", "Ba", "Ba", "Ba", "Ba", "Ba", "Ba", "Ba", "Ba", "Ba", "Ba", "Ba", "Ba", "Ba", "Ba", "Ba", "Ba", "Ba", "Ba", "Ba", "Ba", "Ba", "Ba", "Ba", "Ba", "Ba", "Ba", "Ba", "Ba", "Ba", "Ba", "Ba", "Ba", "Ba", "Ba", "Ba", "Ba", "Hg", "Hg", "Hg", "Hg", "Hg", "Hg", "Hg", "Hg", "Hg", "Hg", "Hg", "Hg", "Se", "Se", "Se", "Se", "Se", "Se", "Se", "Se", "Se", "Se", "Se", "Se", "Se", "Se", "Se", "Se", "Se", "Se", "Se", "Se"], "frac_coords": [[0.040, 0.216, 0.126], [0.040, 0.324, 0.914], [0.086, 0.626, 0.410], [0.086, 0.960, 0.676], [0.090, 0.716, 0.676], [0.090, 0.874, 0.414], [0.126, 0.040, 0.216], [0.126, 0.586, 0.910], [0.176, 0.216, 0.590], [0.176, 0.460, 0.586], [0.216, 0.126, 0.040], [0.216, 0.590, 0.176], [0.284, 0.324, 0.910], [0.284, 0.460, 0.374], [0.324, 0.910, 0.284], [0.324, 0.914, 0.040], [0.374, 0.284, 0.460], [0.374, 0.590, 0.914], [0.410, 0.086, 0.626], [0.410, 0.824, 0.784], [0.414, 0.090, 0.874], [0.414, 0.824, 0.540], [0.460, 0.374, 0.284], [0.460, 0.586, 0.176], [0.540, 0.414, 0.824], [0.540, 0.626, 0.716], [0.586, 0.176, 0.460], [0.586, 0.910, 0.126], [0.590, 0.176, 0.216], [0.590, 0.914, 0.374], [0.626, 0.410, 0.086], [0.626, 0.716, 0.540], [0.676, 0.086, 0.960], [0.676, 0.090, 0.716], [0.716, 0.540, 0.626], [0.716, 0.676, 0.090], [0.784, 0.410, 0.824], [0.784, 0.874, 0.960], [0.824, 0.540, 0.414], [0.824, 0.784, 0.410], [0.874, 0.414, 0.090], [0.874, 0.960, 0.784], [0.910, 0.126, 0.586], [0.910, 0.284, 0.324], [0.914, 0.040, 0.324], [0.914, 0.374, 0.590], [0.960, 0.676, 0.086], [0.960, 0.784, 0.874], [0.125, 0.250, 0.375], [0.125, 0.375, 0.750], [0.250, 0.375, 0.125], [0.250, 0.875, 0.625], [0.375, 0.125, 0.250], [0.375, 0.750, 0.125], [0.625, 0.250, 0.875], [0.625, 0.875, 0.750], [0.750, 0.125, 0.375], [0.750, 0.625, 0.875], [0.875, 0.625, 0.250], [0.875, 0.750, 0.625], [0.000, 0.000, 0.000], [0.000, 0.000, 0.500], [0.000, 0.500, 0.000], [0.000, 0.500, 0.500], [0.125, 0.750, 0.875], [0.125, 0.875, 0.250], [0.250, 0.125, 0.875], [0.250, 0.625, 0.375], [0.375, 0.250, 0.625], [0.375, 0.625, 0.750], [0.500, 0.000, 0.000], [0.500, 0.000, 0.500], [0.500, 0.500, 0.000], [0.500, 0.500, 0.500], [0.625, 0.375, 0.250], [0.625, 0.750, 0.375], [0.750, 0.375, 0.625], [0.750, 0.875, 0.125], [0.875, 0.125, 0.750], [0.875, 0.250, 0.125]], "volume_a3_per_atom": 49.6, "sg": "No. 230", "final_energy_ev_per_cell": -243.1}



{"formula": "Ba2Hg2Se", "functional": "PBE", "state": "relaxed", "lattice_angstrom": [[8.830, 0.000, 0.000], [0.000, 8.830, 0.000], [0.000, 0.000, 5.265]], "species": ["Ba", "Ba", "Ba", "Ba", "Hg", "Hg", "Hg", "Hg", "Se", "Se"], "frac_coords": [[0.190, 0.310, 0.000], [0.310, 0.810, 0.000], [0.690, 0.190, 0.000], [0.810, 0.690, 0.000], [0.118, 0.618, 0.500], [0.382, 0.118, 0.500], [0.618, 0.882, 0.500], [0.882, 0.382, 0.500], [0.000, 0.000, 0.000], [0.500, 0.500, 0.000]], "polymorph_energy_mev_per_atom": 0, "volume_a3_per_atom": 41.0, "sg": "No. 127", "final_energy_ev_per_cell": -23.9}



{"formula": "Ba4Hg2Se", "functional": "PBE", "state": "relaxed", "lattice_angstrom": [[-3.174, 3.174, 8.307], [3.174, -3.174, 8.307], [3.174, 3.174, -8.307]], "species": ["Ba", "Ba", "Ba", "Ba", "Hg", "Hg", "Se"], "frac_coords": [[0.000, 0.500, 0.500], [0.196, 0.196, 0.000], [0.500, 0.000, 0.500], [0.804, 0.804, 0.000], [0.400, 0.400, 0.000], [0.600, 0.600, 0.000], [0.000, 0.000, 0.000]], "volume_a3_per_atom": 47.8, "sg": "No. 139", "final_energy_ev_per_cell": -16.7}



{"formula": "Ba2Hg2Se", "functional": "PBE", "state": "relaxed", "lattice_angstrom": [[8.773, 0.000, 0.000], [0.000, 8.773, 0.000], [0.000, 0.000, 4.609]], "species": ["Ba", "Ba", "Ba", "Ba", "Hg", "Hg", "Hg", "Hg", "Se", "Se"], "frac_coords": [[0.184, 0.316, 0.000], [0.316, 0.816, 0.000], [0.684, 0.184, 0.000], [0.816, 0.684, 0.000], [0.120, 0.620, 0.500], [0.380, 0.120, 0.500], [0.620, 0.880, 0.500], [0.880, 0.380, 0.500], [0.000, 0.000, 0.500], [0.500, 0.500, 0.500]], "polymorph_energy_mev_per_atom": 77, "volume_a3_per_atom": 35.5, "sg": "No. 127", "final_energy_ev_per_cell": -23.1}



{"formula": "BaHgSe3", "functional": "PBE", "state": "relaxed", "lattice_angstrom": [[6.441, 0.000, 0.000], [0.000, 6.441, 0.000], [0.000, 0.000, 6.441]], "species": ["Ba", "Hg", "Se", "Se", "Se"], "frac_coords": [[0.000, 0.000, 0.000], [0.500, 0.500, 0.500], [0.000, 0.000, 0.500], [0.000, 0.500, 0.000], [0.500, 0.000, 0.000]], "polymorph_energy_mev_per_atom": 705, "volume_a3_per_atom": 53.4, "sg": "No. 221", "final_energy_ev_per_cell": -12.0}



{"formula": "BaHgSe3", "functional": "PBE", "state": "relaxed", "lattice_angstrom": [[5.345, 0.000, 0.000], [0.000, 5.345, 0.000], [0.000, 0.000, 5.345]], "species": ["Ba", "Hg", "Se", "Se", "Se"], "frac_coords": [[0.000, 0.000, 0.000], [0.500, 0.500, 0.500], [0.000, 0.500, 0.500], [0.500, 0.000, 0.500], [0.500, 0.500, 0.000]], "polymorph_energy_mev_per_atom": 0, "volume_a3_per_atom": 30.5, "sg": "No. 221", "final_energy_ev_per_cell": -15.5}



{"formula": "BaHg4Se", "functional": "PBE", "state": "relaxed", "lattice_angstrom": [[0.000, 4.475, 4.475], [4.475, 0.000, 4.475], [4.475, 4.475, 0.000]], "species": ["Ba", "Hg", "Hg", "Hg", "Hg", "Se"], "frac_coords": [[0.000, 0.000, 0.000], [0.129, 0.624, 0.624], [0.624, 0.129, 0.624], [0.624, 0.624, 0.129], [0.624, 0.624, 0.624], [0.250, 0.250, 0.250]], "volume_a3_per_atom": 29.9, "sg": "No. 216", "final_energy_ev_per_cell": -9.0}



{"formula": "Ba2SmHgSe5", "functional": "PBE", "state": "relaxed", "lattice_angstrom": [[2.176, -9.612, 0.000], [2.176, 9.612, 0.000], [0.000, 0.000, 13.335]], "species": ["Ba", "Ba", "Ba", "Ba", "Sm", "Sm", "Hg", "Hg", "Se", "Se", "Se", "Se", "Se", "Se", "Se", "Se", "Se", "Se"], "frac_coords": [[0.118, 0.882, 0.500], [0.131, 0.869, 0.129], [0.869, 0.131, 0.629], [0.882, 0.118, 0.000], [0.206, 0.794, 0.824], [0.794, 0.206, 0.324], [0.459, 0.541, 0.258], [0.541, 0.459, 0.758], [0.051, 0.949, 0.874], [0.293, 0.707, 0.472], [0.309, 0.691, 0.175], [0.354, 0.646, 0.818], [0.495, 0.505, 0.575], [0.505, 0.495, 0.075], [0.646, 0.354, 0.318], [0.691, 0.309, 0.675], [0.707, 0.293, 0.972], [0.949, 0.051, 0.374]], "volume_a3_per_atom": 31.0, "sg": "No. 36", "final_energy_ev_per_cell": -78.5}



{"formula": "Ba2SnHgSe5", "functional": "PBE", "state": "relaxed", "lattice_angstrom": [[2.154, -10.268, 0.000], [2.154, 10.268, 0.000], [0.000, 0.000, 12.844]], "species": ["Ba", "Ba", "Ba", "Ba", "Sn", "Sn", "Hg", "Hg", "Se", "Se", "Se", "Se", "Se", "Se", "Se", "Se", "Se", "Se"], "frac_coords": [[0.121, 0.879, 0.500], [0.125, 0.875, 0.881], [0.875, 0.125, 0.381], [0.879, 0.121, 0.000], [0.433, 0.567, 0.642], [0.567, 0.433, 0.142], [0.237, 0.763, 0.241], [0.763, 0.237, 0.741], [0.035, 0.965, 0.255], [0.289, 0.711, 0.868], [0.317, 0.683, 0.572], [0.362, 0.638, 0.190], [0.495, 0.505, 0.469], [0.505, 0.495, 0.969], [0.638, 0.362, 0.690], [0.683, 0.317, 0.072], [0.711, 0.289, 0.368], [0.965, 0.035, 0.755]], "volume_a3_per_atom": 31.6, "sg": "No. 36", "final_energy_ev_per_cell": -70.1}



{"formula": "BaSn2HgSe6", "functional": "PBE", "state": "relaxed", "lattice_angstrom": [[7.092, -7.142, 0.000], [7.092, 7.142, 0.000], [-2.424, 0.000, 7.025]], "species": ["Ba", "Ba", "Sn", "Sn", "Sn", "Sn", "Hg", "Hg", "Se", "Se", "Se", "Se", "Se", "Se", "Se", "Se", "Se", "Se", "Se", "Se"], "frac_coords": [[0.121, 0.879, 0.750], [0.879, 0.121, 0.250], [0.229, 0.368, 0.789], [0.368, 0.229, 0.289], [0.632, 0.771, 0.711], [0.771, 0.632, 0.211], [0.284, 0.716, 0.250], [0.716, 0.284, 0.750], [0.032, 0.190, 0.703], [0.134, 0.597, 0.932], [0.190, 0.032, 0.203], [0.307, 0.444, 0.514], [0.403, 0.866, 0.568], [0.444, 0.307, 0.014], [0.556, 0.693, 0.986], [0.597, 0.134, 0.432], [0.693, 0.556, 0.486], [0.810, 0.968, 0.797], [0.866, 0.403, 0.068], [0.968, 0.810, 0.297]], "volume_a3_per_atom": 35.6, "sg": "No. 15", "final_energy_ev_per_cell": -74.6}